Below is a geometry-optimized Sc3Hg2Pd2 structure, with properties calculated at the PBE level.

Total energy (eV for the cell shown): -33.88
ρ (g/cm³): 8.8
Total magnetization (μB/f.u.): 0.00

abc: 4.8797 4.8797 7.8723
angles: 115.80 115.80 60.56
Last column: nearest neighbours and their distance in Å.
Fractional positions:
Sc  0.0000  0.0000  0.0000  2 Pd 2.64
Sc  0.4661  0.4661  0.2830  4 Pd 2.78-2.93, 3 Hg 2.88-2.89
Sc  0.5339  0.5339  0.7170  4 Pd 2.78-2.93, 3 Hg 2.88-2.89
Hg  0.2389  0.2389  0.8044  6 Sc 2.88-3.14, 4 Pd 3.06-3.13
Hg  0.7611  0.7611  0.1956  6 Sc 2.88-3.14, 4 Pd 3.06-3.13
Pd  0.1834  0.1834  0.3886  5 Sc 2.64-2.93, 2 Pd 2.90
Pd  0.8166  0.8166  0.6114  5 Sc 2.64-2.93, 2 Pd 2.90